(1)
First-principles (GGA-PBE) data for a geometry-optimized Sm2Y3ErSe6 structure, as listed in Alexandria.

Unit cell a=4.092 b=8.257 c=9.174 alpha=102.85 beta=102.89 gamma=90.00
Fractional coordinates of all 12 atoms:
Sm1 0.831 0.664 0.662
Sm2 0.169 0.336 0.338
Y1 0.500 0.500 0.000
Y2 0.830 0.167 0.660
Y3 0.170 0.833 0.340
Er1 0.500 0.000 0.000
Se1 0.336 0.924 0.673
Se2 0.664 0.588 0.327
Se3 0.664 0.076 0.327
Se4 0.998 0.245 0.995
Se5 0.002 0.755 0.005
Se6 0.336 0.412 0.673

Computed properties:
ΔE_f (raw), eV/atom: -1.771
V, Å³ per atom: 24.51
DFT total energy, eV per cell: -75.55
ρ, g cm⁻³: 6.82
Space-group type: C2/m, No. 12


(2)
First-principles (GGA-PBE) data for a geometry-optimized SmY2ErSe4 structure, as listed in Alexandria.

Unit cell a=4.046 b=7.080 c=7.172 alpha=71.14 beta=90.00 gamma=90.00
Fractional coordinates of all 8 atoms:
Sm1 0.500 0.500 0.000
Y1 0.000 0.000 0.000
Y2 0.500 0.000 0.500
Er1 0.000 0.500 0.500
Se1 0.000 0.754 0.743
Se2 0.000 0.246 0.257
Se3 0.500 0.749 0.256
Se4 0.500 0.251 0.744

Computed properties:
ΔE_f (raw), eV/atom: -1.756
V, Å³ per atom: 24.31
DFT total energy, eV per cell: -50.20
ρ, g cm⁻³: 6.93
Space-group type: P2/m, No. 10


(3)
First-principles (GGA-PBE) data for a geometry-optimized Sm3Y3ErSe8 structure, as listed in Alexandria.

Unit cell a=8.206 b=8.206 c=8.239 alpha=119.87 beta=90.00 gamma=120.00
Fractional coordinates of all 15 atoms:
Sm1 0.000 0.000 0.000
Sm2 0.000 0.500 0.000
Sm3 0.500 0.500 0.000
Y1 0.500 0.000 0.500
Y2 0.500 0.500 0.500
Y3 0.000 0.500 0.500
Er1 0.000 0.000 0.500
Se1 0.252 0.505 0.257
Se2 0.748 0.495 0.743
Se3 0.751 0.502 0.256
Se4 0.249 0.498 0.744
Se5 0.751 0.005 0.256
Se6 0.249 0.995 0.744
Se7 0.254 0.005 0.256
Se8 0.746 0.995 0.744

Computed properties:
ΔE_f (raw), eV/atom: -1.853
V, Å³ per atom: 26.21
DFT total energy, eV per cell: -93.79
ρ, g cm⁻³: 6.41
Space-group type: R-3m, No. 166


(4)
First-principles (GGA-PBE) data for a geometry-optimized Sm3Y2ErSe6 structure, as listed in Alexandria.

Unit cell a=7.118 b=7.118 c=7.190 alpha=99.46 beta=99.46 gamma=120.29
Fractional coordinates of all 12 atoms:
Sm1 0.169 0.831 0.500
Sm2 0.831 0.169 0.500
Sm3 0.500 0.500 0.500
Y1 0.333 0.667 0.000
Y2 0.667 0.333 0.000
Er1 0.000 0.000 0.000
Se1 0.920 0.590 0.760
Se2 0.750 0.750 0.242
Se3 0.080 0.410 0.240
Se4 0.590 0.920 0.760
Se5 0.250 0.250 0.758
Se6 0.410 0.080 0.240

Computed properties:
ΔE_f (raw), eV/atom: -1.784
V, Å³ per atom: 24.74
DFT total energy, eV per cell: -73.96
ρ, g cm⁻³: 7.10
Space-group type: C2/m, No. 12


(5)
First-principles (GGA-PBE) data for a geometry-optimized SmYEr2Se6 structure, as listed in Alexandria.

Unit cell a=7.220 b=7.220 c=7.703 alpha=62.05 beta=62.05 gamma=59.99
Fractional coordinates of all 10 atoms:
Sm1 0.815 0.815 0.556
Y1 0.318 0.318 0.047
Er1 0.514 0.514 0.458
Er2 0.012 0.012 0.964
Se1 0.614 0.227 0.248
Se2 0.227 0.911 0.248
Se3 0.911 0.614 0.248
Se4 0.402 0.726 0.749
Se5 0.726 0.123 0.749
Se6 0.123 0.402 0.749

Computed properties:
ΔE_f (raw), eV/atom: -1.849
V, Å³ per atom: 29.24
DFT total energy, eV per cell: -59.71
ρ, g cm⁻³: 5.95
Space-group type: R3, No. 146


(6)
First-principles (GGA-PBE) data for a geometry-optimized Er6SnSe5 structure, as listed in Alexandria.

Unit cell a=7.118 b=7.097 c=7.091 alpha=59.97 beta=80.45 gamma=70.65
Fractional coordinates of all 12 atoms:
Sn1 0.000 0.000 0.000
Se1 0.500 0.164 0.671
Se2 0.000 0.332 0.335
Se3 0.500 0.500 0.000
Se4 0.000 0.668 0.665
Se5 0.500 0.836 0.329
Er1 0.744 0.085 0.338
Er2 0.256 0.577 0.338
Er3 0.253 0.254 0.000
Er4 0.747 0.746 0.000
Er5 0.744 0.423 0.662
Er6 0.256 0.915 0.662

Computed properties:
ΔE_f (raw), eV/atom: -1.543
V, Å³ per atom: 24.39
DFT total energy, eV per cell: -67.32
ρ, g cm⁻³: 8.61
Space-group type: C2/m, No. 12


(7)
First-principles (GGA-PBE) data for a geometry-optimized Er4SnSe4 structure, as listed in Alexandria.

Unit cell a=4.062 b=7.290 c=9.251 alpha=76.00 beta=77.32 gamma=73.82
Fractional coordinates of all 9 atoms:
Er1 0.293 0.105 0.308
Er2 0.707 0.895 0.692
Er3 0.902 0.310 0.886
Er4 0.098 0.690 0.114
Sn1 0.500 0.000 0.000
Se1 0.703 0.399 0.195
Se2 0.891 0.822 0.396
Se3 0.297 0.601 0.805
Se4 0.109 0.178 0.604

Computed properties:
ΔE_f (raw), eV/atom: -1.575
V, Å³ per atom: 27.98
DFT total energy, eV per cell: -50.37
ρ, g cm⁻³: 7.28
Space-group type: C2/m, No. 12


(8)
First-principles (GGA-PBE) data for a geometry-optimized ErSnSe structure, as listed in Alexandria.

Unit cell a=4.294 b=4.294 c=12.110 alpha=79.79 beta=79.79 gamma=60.00
Fractional coordinates of all 6 atoms:
Er1 0.581 0.581 0.257
Er2 0.419 0.419 0.743
Se1 0.282 0.282 0.154
Se2 0.718 0.718 0.846
Sn1 0.854 0.854 0.439
Sn2 0.146 0.146 0.561

Computed properties:
ΔE_f (raw), eV/atom: -1.001
V, Å³ per atom: 31.55
DFT total energy, eV per cell: -30.11
ρ, g cm⁻³: 6.40
Space-group type: R-3m, No. 166